(1)
# CaCuAg2 | Alexandria | PBE | optimized geometry
# Space-group type: I-42d, No. 122
# Mass density, g cm⁻³: 6.184
# Formation energy, kJ per mole of atoms: 10.7
# Uncorrected energy, eV per atom: -2.84
# Energy above the lowest structure with this stoichiometry, meV per atom: 214.8
data_CaCuAg2
_cell_length_a 10.485
_cell_length_b 10.485
_cell_length_c 10.485
_cell_angle_alpha 157.30
_cell_angle_beta 157.30
_cell_angle_gamma 32.32
_space_group_name_H-M_alt 'P 1'
_space_group_IT_number 1
_space_group_name_Hall 'P 1'
loop_
_atom_site_label
_atom_site_type_symbol
_atom_site_fract_x
_atom_site_fract_y
_atom_site_fract_z
Ca1 Ca 0.000 0.000 0.000
Ca2 Ca 0.750 0.250 0.500
Cu1 Cu 0.250 0.750 0.500
Cu2 Cu 0.500 0.500 0.000
Ag1 Ag 0.153 0.625 0.028
Ag2 Ag 0.375 0.403 0.528
Ag3 Ag 0.597 0.125 0.972
Ag4 Ag 0.875 0.847 0.472



(2)
# NpInP2O8 | Alexandria | PBE | optimized geometry
# Space-group type: C2/m, No. 12
# Mass density, g cm⁻³: 4.152
# Uncorrected energy, eV per atom: -7.75
# Raw formation energy, kJ per mole of atoms: -216
data_NpInP2O8
_cell_length_a 5.289
_cell_length_b 5.289
_cell_length_c 8.660
_cell_angle_alpha 91.16
_cell_angle_beta 91.16
_cell_angle_gamma 63.49
_space_group_name_H-M_alt 'P 1'
_space_group_IT_number 1
_space_group_name_Hall 'P 1'
loop_
_atom_site_label
_atom_site_type_symbol
_atom_site_fract_x
_atom_site_fract_y
_atom_site_fract_z
Np1 Np 0.000 0.000 0.000
In1 In 0.000 0.000 0.500
P1 P 0.343 0.343 0.790
P2 P 0.657 0.657 0.210
O1 O 0.216 0.668 0.830
O2 O 0.217 0.217 0.915
O3 O 0.285 0.285 0.627
O4 O 0.332 0.784 0.170
O5 O 0.668 0.216 0.830
O6 O 0.715 0.715 0.373
O7 O 0.783 0.783 0.085
O8 O 0.784 0.332 0.170



(3)
# La3PdCl2 | Alexandria | PBE | optimized geometry
# Space-group type: Immm, No. 71
# Mass density, g cm⁻³: 6.104
# Uncorrected energy, eV per atom: -5.26
# Raw formation energy, kJ per mole of atoms: -127
data_La3PdCl2
_cell_length_a 7.361
_cell_length_b 7.361
_cell_length_c 7.361
_cell_angle_alpha 146.80
_cell_angle_beta 131.70
_cell_angle_gamma 59.87
_space_group_name_H-M_alt 'P 1'
_space_group_IT_number 1
_space_group_name_Hall 'P 1'
loop_
_atom_site_label
_atom_site_type_symbol
_atom_site_fract_x
_atom_site_fract_y
_atom_site_fract_z
La1 La 0.000 0.000 0.000
La2 La 0.336 0.336 0.000
La3 La 0.664 0.664 0.000
Pd1 Pd 0.500 0.000 0.500
Cl1 Cl 0.164 0.664 0.500
Cl2 Cl 0.836 0.336 0.500



(4)
# LiCe2Ga | Alexandria | PBE | optimized geometry
# Space-group type: Fm-3m, No. 225
# Mass density, g cm⁻³: 6.183
# Formation energy, kJ per mole of atoms: -12.7
# Uncorrected energy, eV per atom: -4.33
data_LiCe2Ga
_cell_length_a 5.137
_cell_length_b 5.137
_cell_length_c 5.137
_cell_angle_alpha 60.00
_cell_angle_beta 60.00
_cell_angle_gamma 60.00
_space_group_name_H-M_alt 'P 1'
_space_group_IT_number 1
_space_group_name_Hall 'P 1'
loop_
_atom_site_label
_atom_site_type_symbol
_atom_site_fract_x
_atom_site_fract_y
_atom_site_fract_z
Li1 Li 0.000 0.000 0.000
Ce1 Ce 0.250 0.250 0.250
Ce2 Ce 0.750 0.750 0.750
Ga1 Ga 0.500 0.500 0.500



(5)
# SrCa2Pd | Alexandria | PBE | optimized geometry
# Space-group type: I-42d, No. 122
# Mass density, g cm⁻³: 3.084
# Formation energy, kJ per mole of atoms: -22.4
# Uncorrected energy, eV per atom: -2.95
# Energy above the lowest structure with this stoichiometry, meV per atom: 183.9
data_SrCa2Pd
_cell_length_a 7.480
_cell_length_b 7.480
_cell_length_c 7.480
_cell_angle_alpha 100.91
_cell_angle_beta 100.91
_cell_angle_gamma 128.43
_space_group_name_H-M_alt 'P 1'
_space_group_IT_number 1
_space_group_name_Hall 'P 1'
loop_
_atom_site_label
_atom_site_type_symbol
_atom_site_fract_x
_atom_site_fract_y
_atom_site_fract_z
Sr1 Sr 0.000 0.000 0.000
Sr2 Sr 0.750 0.250 0.500
Ca1 Ca 0.227 0.125 0.602
Ca2 Ca 0.375 0.773 0.898
Ca3 Ca 0.523 0.625 0.398
Ca4 Ca 0.875 0.477 0.102
Pd1 Pd 0.250 0.750 0.500
Pd2 Pd 0.500 0.500 0.000



(6)
# Sc12Al3Cd | Alexandria | PBE | optimized geometry
# Space-group type: P4/mmm, No. 123
# Mass density, g cm⁻³: 3.461
# Formation energy, kJ per mole of atoms: -21.0
# Uncorrected energy, eV per atom: -5.73
data_Sc12Al3Cd
_cell_length_a 4.444
_cell_length_b 4.444
_cell_length_c 17.801
_cell_angle_alpha 90.00
_cell_angle_beta 90.00
_cell_angle_gamma 90.00
_space_group_name_H-M_alt 'P 1'
_space_group_IT_number 1
_space_group_name_Hall 'P 1'
loop_
_atom_site_label
_atom_site_type_symbol
_atom_site_fract_x
_atom_site_fract_y
_atom_site_fract_z
Sc1 Sc 0.000 0.000 0.000
Sc2 Sc 0.000 0.000 0.248
Sc3 Sc 0.000 0.000 0.500
Sc4 Sc 0.000 0.000 0.752
Sc5 Sc 0.000 0.500 0.124
Sc6 Sc 0.000 0.500 0.370
Sc7 Sc 0.000 0.500 0.630
Sc8 Sc 0.000 0.500 0.876
Sc9 Sc 0.500 0.000 0.124
Sc10 Sc 0.500 0.000 0.370
Sc11 Sc 0.500 0.000 0.630
Sc12 Sc 0.500 0.000 0.876
Al1 Al 0.500 0.500 0.000
Al2 Al 0.500 0.500 0.248
Al3 Al 0.500 0.500 0.752
Cd1 Cd 0.500 0.500 0.500



(7)
# LiThHg2N | Alexandria | PBE | optimized geometry
# Space-group type: P4/nmm, No. 129
# Mass density, g cm⁻³: 9.629
# Uncorrected energy, eV per atom: -4.44
# Raw formation energy, kJ per mole of atoms: -76
data_LiThHg2N
_cell_length_a 4.052
_cell_length_b 4.052
_cell_length_c 13.740
_cell_angle_alpha 90.00
_cell_angle_beta 90.00
_cell_angle_gamma 90.00
_space_group_name_H-M_alt 'P 1'
_space_group_IT_number 1
_space_group_name_Hall 'P 1'
loop_
_atom_site_label
_atom_site_type_symbol
_atom_site_fract_x
_atom_site_fract_y
_atom_site_fract_z
Li1 Li 0.250 0.250 0.058
Li2 Li 0.750 0.750 0.942
Th1 Th 0.250 0.250 0.584
Th2 Th 0.750 0.750 0.416
Hg1 Hg 0.250 0.250 0.264
Hg2 Hg 0.250 0.250 0.855
Hg3 Hg 0.750 0.750 0.145
Hg4 Hg 0.750 0.750 0.736
N1 N 0.250 0.750 0.500
N2 N 0.750 0.250 0.500



(8)
# InSi2 | Alexandria | PBE | optimized geometry
# Space-group type: C2/m, No. 12
# Mass density, g cm⁻³: 4.650
# Uncorrected energy, eV per atom: -4.17
# Raw formation energy, kJ per mole of atoms: 34
# Energy above the lowest structure with this stoichiometry, meV per atom: 122.6
data_InSi2
_cell_length_a 5.121
_cell_length_b 5.121
_cell_length_c 7.937
_cell_angle_alpha 105.06
_cell_angle_beta 105.06
_cell_angle_gamma 37.60
_space_group_name_H-M_alt 'P 1'
_space_group_IT_number 1
_space_group_name_Hall 'P 1'
loop_
_atom_site_label
_atom_site_type_symbol
_atom_site_fract_x
_atom_site_fract_y
_atom_site_fract_z
In1 In 0.159 0.159 0.120
In2 In 0.841 0.841 0.880
Si1 Si 0.153 0.153 0.506
Si2 Si 0.468 0.468 0.330
Si3 Si 0.532 0.532 0.670
Si4 Si 0.847 0.847 0.494



(9)
# Pr3Sm2Y5 | Alexandria | PBE | optimized geometry
# Space-group type: Ibam, No. 72
# Mass density, g cm⁻³: 5.623
# Formation energy, kJ per mole of atoms: 26.6
# Uncorrected energy, eV per atom: -5.33
# Energy above the lowest structure with this stoichiometry, meV per atom: 104.4
data_Pr3Sm2Y5
_cell_length_a 11.095
_cell_length_b 11.095
_cell_length_c 11.095
_cell_angle_alpha 112.60
_cell_angle_beta 77.66
_cell_angle_gamma 146.03
_space_group_name_H-M_alt 'P 1'
_space_group_IT_number 1
_space_group_name_Hall 'P 1'
loop_
_atom_site_label
_atom_site_type_symbol
_atom_site_fract_x
_atom_site_fract_y
_atom_site_fract_z
Pr1 Pr 0.172 0.248 0.420
Pr2 Pr 0.250 0.250 0.000
Pr3 Pr 0.328 0.748 0.076
Pr4 Pr 0.672 0.252 0.924
Pr5 Pr 0.750 0.750 0.000
Pr6 Pr 0.828 0.752 0.580
Sm1 Sm 0.168 0.586 0.754
Sm2 Sm 0.332 0.086 0.418
Sm3 Sm 0.668 0.914 0.582
Sm4 Sm 0.832 0.414 0.246
Y1 Y 0.166 0.910 0.076
Y2 Y 0.250 0.503 0.253
Y3 Y 0.250 0.750 0.500
Y4 Y 0.250 0.997 0.747
Y5 Y 0.334 0.410 0.745
Y6 Y 0.666 0.590 0.255
Y7 Y 0.750 0.003 0.253
Y8 Y 0.750 0.250 0.500
Y9 Y 0.750 0.497 0.747
Y10 Y 0.834 0.090 0.924



(10)
# Pr2Sn4PtAu3 | Alexandria | PBE | optimized geometry
# Space-group type: P-4m2, No. 115
# Mass density, g cm⁻³: 10.510
# Formation energy, kJ per mole of atoms: -59.2
# Uncorrected energy, eV per atom: -4.76
data_Pr2Sn4PtAu3
_cell_length_a 4.634
_cell_length_b 4.634
_cell_length_c 11.352
_cell_angle_alpha 90.00
_cell_angle_beta 90.00
_cell_angle_gamma 90.00
_space_group_name_H-M_alt 'P 1'
_space_group_IT_number 1
_space_group_name_Hall 'P 1'
loop_
_atom_site_label
_atom_site_type_symbol
_atom_site_fract_x
_atom_site_fract_y
_atom_site_fract_z
Pr1 Pr 0.000 0.500 0.225
Pr2 Pr 0.500 0.000 0.775
Sn1 Sn 0.000 0.000 0.500
Sn2 Sn 0.000 0.500 0.874
Sn3 Sn 0.500 0.000 0.126
Sn4 Sn 0.500 0.500 0.500
Pt1 Pt 0.500 0.500 0.000
Au1 Au 0.000 0.000 0.000
Au2 Au 0.000 0.500 0.641
Au3 Au 0.500 0.000 0.359



(11)
# BeNiAs3 | Alexandria | PBE | optimized geometry
# Space-group type: Pm-3m, No. 221
# Mass density, g cm⁻³: 5.695
# Formation energy, kJ per mole of atoms: 67.6
# Uncorrected energy, eV per atom: -3.99
# Energy above the lowest structure with this stoichiometry, meV per atom: 0.0
data_BeNiAs3
_cell_length_a 4.402
_cell_length_b 4.402
_cell_length_c 4.402
_cell_angle_alpha 90.00
_cell_angle_beta 90.00
_cell_angle_gamma 90.00
_space_group_name_H-M_alt 'P 1'
_space_group_IT_number 1
_space_group_name_Hall 'P 1'
loop_
_atom_site_label
_atom_site_type_symbol
_atom_site_fract_x
_atom_site_fract_y
_atom_site_fract_z
Be1 Be 0.000 0.000 0.000
Ni1 Ni 0.500 0.500 0.500
As1 As 0.000 0.000 0.500
As2 As 0.000 0.500 0.000
As3 As 0.500 0.000 0.000



(12)
# CoAg4W | Alexandria | PBE | optimized geometry
# Space-group type: F-43m, No. 216
# Mass density, g cm⁻³: 10.835
# Formation energy, kJ per mole of atoms: 94.9
# Uncorrected energy, eV per atom: -4.26
data_CoAg4W
_cell_length_a 5.267
_cell_length_b 5.267
_cell_length_c 5.267
_cell_angle_alpha 60.00
_cell_angle_beta 60.00
_cell_angle_gamma 60.00
_space_group_name_H-M_alt 'P 1'
_space_group_IT_number 1
_space_group_name_Hall 'P 1'
loop_
_atom_site_label
_atom_site_type_symbol
_atom_site_fract_x
_atom_site_fract_y
_atom_site_fract_z
Co1 Co 0.000 0.000 0.000
Ag1 Ag 0.125 0.625 0.625
Ag2 Ag 0.625 0.125 0.625
Ag3 Ag 0.625 0.625 0.125
Ag4 Ag 0.625 0.625 0.625
W1 W 0.250 0.250 0.250